Below is a geometry-optimized Ta2Co3Os structure, with properties calculated at the PBE-GGA level.

Calculated values
Its total energy is -9.576 eV per atom. The formation energy is -201 meV per atom. The total magnetization is 1.27 μB per cell.

Cell lengths 4.9199, 4.9199, 4.9199 Å; angles 58.56, 58.56, 58.56 degrees
Fractional coordinates of all 6 atoms:
Ta 0.1218 0.1218 0.1218
Ta 0.8782 0.8782 0.8782
Co 0.0000 0.5000 0.5000
Co 0.5000 0.0000 0.5000
Co 0.5000 0.5000 0.0000
Os 0.5000 0.5000 0.5000

---

Below is a geometry-optimized Li2YScCu structure, with properties calculated at the PBE-GGA level.

Calculated values
Its total energy is -2.795 eV per atom. The formation energy is 1349 meV per atom. The total magnetization is 0.00 μB per cell.

Cell lengths 5.1104, 5.1104, 5.2245 Å; angles 90.00, 90.00, 90.00 degrees
Fractional coordinates of all 5 atoms:
Li 0.0000 0.5000 0.0000
Li 0.5000 0.0000 0.0000
Y 0.0000 0.0000 0.0000
Sc 0.0000 0.0000 0.5000
Cu 0.5000 0.5000 0.5000

---

Below is a geometry-optimized Nb4MoW2 structure, with properties calculated at the PBE-GGA level.

Calculated values
Its total energy is -10.475 eV per atom. For the energy above the most stable polymorph in this dataset, the calculation gives 246 meV per atom. The formation energy is 527 meV per atom. The total magnetization is 0.00 μB per cell.

Cell lengths 5.5394, 5.5394, 5.5394 Å; angles 106.79, 106.79, 114.99 degrees
Fractional coordinates of all 7 atoms:
Nb 0.2151 0.2151 0.4301
Nb 0.2151 0.7849 0.0000
Nb 0.7849 0.2151 0.0000
Nb 0.7849 0.7849 0.5699
Mo 0.5000 0.5000 0.0000
W 0.2500 0.7500 0.5000
W 0.7500 0.2500 0.5000

---

> Which value of total magnetization does entry 2 give?

0.00 μB per cell

---

What did the second record say?
Below is a geometry-optimized Li2YScCu structure, with properties calculated at the PBE-GGA level.

Calculated values
Its total energy is -2.795 eV per atom. The formation energy is 1349 meV per atom. The total magnetization is 0.00 μB per cell.

Cell lengths 5.1104, 5.1104, 5.2245 Å; angles 90.00, 90.00, 90.00 degrees
Fractional coordinates of all 5 atoms:
Li 0.0000 0.5000 0.0000
Li 0.5000 0.0000 0.0000
Y 0.0000 0.0000 0.0000
Sc 0.0000 0.0000 0.5000
Cu 0.5000 0.5000 0.5000

---

Repeat the second record exactly.
Below is a geometry-optimized Li2YScCu structure, with properties calculated at the PBE-GGA level.

Calculated values
Its total energy is -2.795 eV per atom. The formation energy is 1349 meV per atom. The total magnetization is 0.00 μB per cell.

Cell lengths 5.1104, 5.1104, 5.2245 Å; angles 90.00, 90.00, 90.00 degrees
Fractional coordinates of all 5 atoms:
Li 0.0000 0.5000 0.0000
Li 0.5000 0.0000 0.0000
Y 0.0000 0.0000 0.0000
Sc 0.0000 0.0000 0.5000
Cu 0.5000 0.5000 0.5000